Model one:
# PBE BaZn2W, relaxed
# * theoretical density: 8.19 g/cm³
# * D(E_F): 3.8 states/eV/cell
data_BaZn2W
_chemical_formula_sum 'Ba1 Zn2 W1'
_cell_length_a 3.1041
_cell_length_b 4.2707
_cell_length_c 7.0556
_cell_angle_alpha 90.00
_cell_angle_beta 101.58
_cell_angle_gamma 90.00
_symmetry_space_group_name_H-M 'P 1 m 1'
_symmetry_Int_Tables_number 6
loop_
_symmetry_equiv_pos_as_xyz
'x,y,z'
'x,-y,z'
loop_
_atom_site_label
_atom_site_type_symbol
_atom_site_fract_x
_atom_site_fract_y
_atom_site_fract_z
Ba1 Ba 0.0000 0.0000 0.0000
Zn1 Zn 0.2507 0.0000 0.4617
Zn2 Zn 0.3538 0.5000 0.6913
W1 W 0.7102 0.5000 0.3796

=====

Model two:
# PBE BaZn2W, relaxed
# * theoretical density: 8.84 g/cm³
# * D(E_F): 6.7 states/eV/cell
data_BaZn2W
_chemical_formula_sum 'Ba2 Zn4 W2'
_cell_length_a 2.9493
_cell_length_b 5.4676
_cell_length_c 10.5322
_cell_angle_alpha 90.00
_cell_angle_beta 90.00
_cell_angle_gamma 90.00
_symmetry_space_group_name_H-M 'I m m 2'
_symmetry_Int_Tables_number 44
loop_
_symmetry_equiv_pos_as_xyz
'x,y,z'
'-x,-y,z'
'-x,y,z'
'x,-y,z'
'x+1/2,y+1/2,z+1/2'
'-x+1/2,-y+1/2,z+1/2'
'-x+1/2,y+1/2,z+1/2'
'x+1/2,-y+1/2,z+1/2'
loop_
_atom_site_label
_atom_site_type_symbol
_atom_site_fract_x
_atom_site_fract_y
_atom_site_fract_z
Ba1 Ba 0.0000 0.0000 0.0000
Zn1 Zn 0.0000 0.0000 0.4986
Zn2 Zn 0.0000 0.5000 0.2185
W1 W 0.0000 0.5000 0.7835

=====

Energy ordering: model one at the bottom, the next structure 0.231 eV/atom above.

=====

Model one:
# PBE BaZn2W, relaxed
# * theoretical density: 9.08 g/cm³
# * D(E_F): 9.4 states/eV/cell
data_BaZn2W
_chemical_formula_sum 'Ba3 Zn6 W3'
_cell_length_a 3.0835
_cell_length_b 3.0835
_cell_length_c 30.1318
_cell_angle_alpha 90.00
_cell_angle_beta 90.00
_cell_angle_gamma 120.00
_symmetry_space_group_name_H-M 'R -3 m'
_symmetry_Int_Tables_number 166
_symmetry_space_group_name_Hall '-R 3 2"'
loop_
_atom_site_label
_atom_site_type_symbol
_atom_site_fract_x
_atom_site_fract_y
_atom_site_fract_z
Ba1 Ba 0.0000 0.0000 0.0000
Zn1 Zn 0.0000 0.0000 0.2361
W1 W 0.0000 0.0000 0.5000

=====

Model two:
# PBE BaZn2W, relaxed
# * theoretical density: 8.14 g/cm³
# * D(E_F): 8.8 states/eV/cell
data_BaZn2W
_chemical_formula_sum 'Ba2 Zn4 W2'
_cell_length_a 9.1904
_cell_length_b 3.0571
_cell_length_c 6.6357
_cell_angle_alpha 90.00
_cell_angle_beta 98.60
_cell_angle_gamma 90.00
_symmetry_space_group_name_H-M 'C 1 2/m 1'
_symmetry_Int_Tables_number 12
loop_
_symmetry_equiv_pos_as_xyz
'x,y,z'
'-x,-y,-z'
'-x,y,-z'
'x,-y,z'
'x+1/2,y+1/2,z'
'-x+1/2,-y+1/2,-z'
'-x+1/2,y+1/2,-z'
'x+1/2,-y+1/2,z'
loop_
_atom_site_label
_atom_site_type_symbol
_atom_site_fract_x
_atom_site_fract_y
_atom_site_fract_z
Ba1 Ba 0.0000 0.0000 0.0000
Zn1 Zn 0.2368 0.0000 0.6546
W1 W 0.0000 0.5000 0.5000

=====

Model three:
# PBE BaZn2W, relaxed
# * theoretical density: 8.75 g/cm³
# * D(E_F): 2.8 states/eV/cell
data_BaZn2W
_chemical_formula_sum 'Ba1 Zn2 W1'
_cell_length_a 3.0206
_cell_length_b 3.8320
_cell_length_c 7.4064
_cell_angle_alpha 90.00
_cell_angle_beta 90.00
_cell_angle_gamma 90.00
_symmetry_space_group_name_H-M 'P m m m'
_symmetry_Int_Tables_number 47
loop_
_symmetry_equiv_pos_as_xyz
'x,y,z'
'-x,-y,-z'
'-x,-y,z'
'x,y,-z'
'x,-y,-z'
'-x,y,z'
'-x,y,-z'
'x,-y,z'
loop_
_atom_site_label
_atom_site_type_symbol
_atom_site_fract_x
_atom_site_fract_y
_atom_site_fract_z
Ba1 Ba 0.0000 0.0000 0.0000
Zn1 Zn 0.5000 0.5000 0.3270
W1 W 0.0000 0.0000 0.5000

=====

Energy ordering: model three at the bottom, the next structure 0.164 eV/atom above.

=====

Model one:
# PBE BaZn2W, relaxed
# * theoretical density: 7.90 g/cm³
# * D(E_F): 5.1 states/eV/cell
data_BaZn2W
_chemical_formula_sum 'Ba1 Zn2 W1'
_cell_length_a 3.5457
_cell_length_b 3.5457
_cell_length_c 7.5532
_cell_angle_alpha 90.00
_cell_angle_beta 90.00
_cell_angle_gamma 90.00
_symmetry_space_group_name_H-M 'P 4 m m'
_symmetry_Int_Tables_number 99
loop_
_symmetry_equiv_pos_as_xyz
'x,y,z'
'-y,x,z'
'-x,-y,z'
'y,-x,z'
'-x,y,z'
'y,x,z'
'x,-y,z'
'-y,-x,z'
loop_
_atom_site_label
_atom_site_type_symbol
_atom_site_fract_x
_atom_site_fract_y
_atom_site_fract_z
Ba1 Ba 0.0000 0.0000 0.0000
Zn1 Zn 0.0000 0.0000 0.4377
Zn2 Zn 0.5000 0.5000 0.6725
W1 W 0.5000 0.5000 0.3338

=====

Model two:
# PBE BaZn2W, relaxed
# * theoretical density: 7.99 g/cm³
# * D(E_F): 14.5 states/eV/cell
data_BaZn2W
_chemical_formula_sum 'Ba4 Zn8 W4'
_cell_length_a 7.2168
_cell_length_b 7.2168
_cell_length_c 7.2168
_cell_angle_alpha 90.00
_cell_angle_beta 90.00
_cell_angle_gamma 90.00
_symmetry_space_group_name_H-M 'F -4 3 m'
_symmetry_Int_Tables_number 216
_symmetry_space_group_name_Hall 'F -4 2 3'
loop_
_atom_site_label
_atom_site_type_symbol
_atom_site_fract_x
_atom_site_fract_y
_atom_site_fract_z
Ba1 Ba 0.0000 0.0000 0.0000
Zn1 Zn 0.0000 0.0000 0.5000
Zn2 Zn 0.2500 0.2500 0.7500
W1 W 0.2500 0.2500 0.2500

=====

Energy ordering: model one at the bottom, the next structure 0.451 eV/atom above.

=====

Model one:
# PBE BaZn2W, relaxed
# * theoretical density: 9.11 g/cm³
# * D(E_F): 3.4 states/eV/cell
data_BaZn2W
_chemical_formula_sum 'Ba2 Zn4 W2'
_cell_length_a 7.0121
_cell_length_b 7.9658
_cell_length_c 2.9508
_cell_angle_alpha 90.00
_cell_angle_beta 90.00
_cell_angle_gamma 90.00
_symmetry_space_group_name_H-M 'C m m m'
_symmetry_Int_Tables_number 65
_symmetry_space_group_name_Hall '-C 2 2'
loop_
_atom_site_label
_atom_site_type_symbol
_atom_site_fract_x
_atom_site_fract_y
_atom_site_fract_z
Ba1 Ba 0.0000 0.0000 0.0000
Zn1 Zn 0.2500 0.2500 0.5000
W1 W 0.0000 0.5000 0.0000

=====

Model two:
# PBE BaZn2W, relaxed
# * theoretical density: 8.10 g/cm³
# * D(E_F): 6.6 states/eV/cell
data_BaZn2W
_chemical_formula_sum 'Ba2 Zn4 W2'
_cell_length_a 9.4439
_cell_length_b 3.0144
_cell_length_c 6.5822
_cell_angle_alpha 90.00
_cell_angle_beta 98.53
_cell_angle_gamma 90.00
_symmetry_space_group_name_H-M 'C 1 m 1'
_symmetry_Int_Tables_number 8
loop_
_symmetry_equiv_pos_as_xyz
'x,y,z'
'x,-y,z'
'x+1/2,y+1/2,z'
'x+1/2,-y+1/2,z'
loop_
_atom_site_label
_atom_site_type_symbol
_atom_site_fract_x
_atom_site_fract_y
_atom_site_fract_z
Ba1 Ba 0.0000 0.0000 0.0000
Zn1 Zn 0.2598 0.5000 0.3297
Zn2 Zn 0.4842 0.0000 0.5427
W1 W 0.2224 0.0000 0.6444

=====

Model three:
# PBE BaZn2W, relaxed
# * theoretical density: 8.26 g/cm³
# * D(E_F): 14.1 states/eV/cell
data_BaZn2W
_chemical_formula_sum 'Ba4 Zn8 W4'
_cell_length_a 7.1375
_cell_length_b 7.1375
_cell_length_c 7.1375
_cell_angle_alpha 90.00
_cell_angle_beta 90.00
_cell_angle_gamma 90.00
_symmetry_space_group_name_H-M 'F m -3 m'
_symmetry_Int_Tables_number 225
_symmetry_space_group_name_Hall '-F 4 2 3'
loop_
_atom_site_label
_atom_site_type_symbol
_atom_site_fract_x
_atom_site_fract_y
_atom_site_fract_z
Ba1 Ba 0.0000 0.0000 0.0000
Zn1 Zn 0.2500 0.2500 0.2500
W1 W 0.0000 0.0000 0.5000

=====

Energy ordering: model two at the bottom, the next structure 0.093 eV/atom above.